*i*
Below is PmNd2Sm6 after structural relaxation, with properties calculated at the GGA-PBE level.

a b c (Å): 9.9970 9.9970 3.5412
angles (deg): 90.09 90.09 59.81
Closest atoms and distances in Å follow each position.
Fractional positions:
Pm: 0.0000 0.0000 0.0000  2 Pm 3.54, 12 Sm 3.76-3.77
Nd: 0.3333 0.3333 0.0000  2 Nd 3.54, 12 Sm 3.76-3.78
Nd: 0.6667 0.6667 0.0000  2 Nd 3.54, 12 Sm 3.76-3.78
Sm: 0.9996 0.3332 0.5001  5 Sm 3.33-3.54
Sm: 0.0004 0.6668 0.4999  5 Sm 3.33-3.54
Sm: 0.3332 0.9996 0.5001  5 Sm 3.33-3.54
Sm: 0.3327 0.6673 0.5000  5 Sm 3.33-3.54
Sm: 0.6668 0.0004 0.4999  5 Sm 3.33-3.54
Sm: 0.6673 0.3327 0.5000  5 Sm 3.33-3.54

Values from the calculation:
N(E_F) ... 1.419 states/eV per atom
Volume ... 33.990 Å³/atom
Total moment ... 0.000 μB per cell

=====

*ii*
Below is PmNd2Sm6 after structural relaxation, with properties calculated at the GGA-PBE level.

a b c (Å): 7.6711 7.6711 6.1455
angles (deg): 90.00 90.00 120.00
Closest atoms and distances in Å follow each position.
Fractional positions:
Pm: 0.0000 0.0000 0.0000  6 Sm 3.06
Nd: 0.3333 0.6667 0.7837  12 Sm 3.60-3.87
Nd: 0.6667 0.3333 0.2163  12 Sm 3.60-3.87
Sm: 0.1877 0.3754 0.2890  1 Pm 3.06, 2 Sm 3.35
Sm: 0.1877 0.8123 0.2890  1 Pm 3.06, 2 Sm 3.35
Sm: 0.3754 0.1877 0.7110  1 Pm 3.06, 2 Sm 3.35
Sm: 0.6246 0.8123 0.2890  1 Pm 3.06, 2 Sm 3.35
Sm: 0.8123 0.1877 0.7110  1 Pm 3.06, 2 Sm 3.35
Sm: 0.8123 0.6246 0.7110  1 Pm 3.06, 2 Sm 3.35

Values from the calculation:
N(E_F) ... 1.593 states/eV per atom
Volume ... 34.801 Å³/atom
Total moment ... 0.000 μB per cell

=====

*i* is the most stable structure shown above.